A plane-wave DFT calculation with PBE was carried out for a geometry-optimized NdCuP2O8 structure.

The space group is P-3m1, No. 164. For the formation energy without anion corrections, the calculation gives -2093 meV/atom.

Cell: 5.154 5.154 6.702 Å, 90.00 90.00 120.00°
Last column: magnetic moment on the atom in μB.
Fractional coordinates of all 12 atoms:
O (0.833, 0.167, 0.200)  0.11
O (0.333, 0.667, 0.506)  0.16
O (0.833, 0.666, 0.200)  0.11
O (0.334, 0.167, 0.200)  0.11
O (0.667, 0.333, 0.494)  0.16
O (0.167, 0.334, 0.800)  0.11
O (0.167, 0.833, 0.800)  0.11
O (0.666, 0.833, 0.800)  0.11
P (0.333, 0.667, 0.738)  0.00
P (0.667, 0.333, 0.262)  0.00
Cu (0.000, 0.000, 0.000)  0.94
Nd (0.000, 0.000, 0.500)  -0.01

A plane-wave DFT calculation with PBE was carried out for a geometry-optimized CaAgIrF6 structure.

The space group is P-31c, No. 163. For the formation energy without anion corrections, the calculation gives -2095 meV/atom.

Cell: 5.801 5.801 9.885 Å, 90.00 90.00 120.00°
Last column: magnetic moment on the atom in μB.
Fractional coordinates of all 18 atoms:
Ag (0.000, 0.000, 0.500)  0.00
Ag (0.000, 0.000, 0.000)  0.00
F (0.625, 0.968, 0.862)  0.00
F (0.343, 0.968, 0.638)  0.00
F (0.968, 0.343, 0.138)  0.00
F (0.625, 0.657, 0.638)  0.00
F (0.375, 0.032, 0.138)  0.00
F (0.968, 0.625, 0.362)  0.00
F (0.032, 0.375, 0.638)  0.00
F (0.375, 0.343, 0.362)  0.00
F (0.032, 0.657, 0.862)  0.00
F (0.657, 0.032, 0.362)  0.00
F (0.343, 0.375, 0.862)  0.00
F (0.657, 0.625, 0.138)  0.00
Ca (0.333, 0.667, 0.250)  0.00
Ca (0.667, 0.333, 0.750)  0.00
Ir (0.333, 0.667, 0.750)  -0.11
Ir (0.667, 0.333, 0.250)  -0.11

A plane-wave DFT calculation with PBE was carried out for a geometry-optimized TbTm5Pb6 structure.

The value obtained for the energy of formation from the pure elements is -0.39 eV/atom. The space group is C2/m, No. 12.

Cell: 8.580 6.070 8.201 Å, 68.28 79.39 60.16°
Fractional coordinates of all 12 atoms:
Pb (0.753, 0.741, 0.000)
Pb (0.247, 0.259, 0.000)
Pb (0.746, 0.422, 0.664)
Pb (0.746, 0.086, 0.336)
Pb (0.254, 0.914, 0.664)
Pb (0.254, 0.578, 0.336)
Tm (0.000, 0.332, 0.336)
Tm (0.500, 0.500, 0.000)
Tm (0.500, 0.164, 0.672)
Tm (0.500, 0.836, 0.328)
Tm (0.000, 0.668, 0.664)
Tb (0.000, 0.000, 0.000)

A plane-wave DFT calculation with PBE was carried out for a geometry-optimized Ti4IrRh2 structure.

The value obtained for the energy of formation from the pure elements is -0.58 eV/atom. The space group is I4/mmm, No. 139.

Cell: 5.323 5.323 5.323 Å, 107.73 110.35 110.35°
Fractional coordinates of all 7 atoms:
Ti (0.500, 0.000, 0.000)
Ti (0.000, 0.500, 0.000)
Ti (0.500, 0.500, 0.500)
Ti (0.000, 0.000, 0.500)
Ir (0.000, 0.000, 0.000)
Rh (0.500, 0.500, 0.000)
Rh (0.500, 0.000, 0.500)

A plane-wave DFT calculation with PBE was carried out for a geometry-optimized Mg2Si2Ni5Sn structure.

The space group is P4/mbm, No. 127. For the formation energy without anion corrections, the calculation gives -375 meV/atom.

Cell: 3.382 9.078 9.078 Å, 90.00 90.00 90.00°
Fractional coordinates of all 20 atoms:
Ni (0.500, 0.283, 0.568)
Ni (0.500, 0.432, 0.283)
Ni (0.500, 0.217, 0.068)
Ni (0.500, 0.000, 0.500)
Ni (0.500, 0.783, 0.932)
Ni (0.500, 0.500, 0.000)
Ni (0.500, 0.717, 0.432)
Ni (0.500, 0.068, 0.783)
Ni (0.500, 0.568, 0.717)
Ni (0.500, 0.932, 0.217)
Si (0.000, 0.379, 0.121)
Si (0.000, 0.879, 0.379)
Si (0.000, 0.621, 0.879)
Si (0.000, 0.121, 0.621)
Sn (0.000, 0.500, 0.500)
Sn (0.000, 0.000, 0.000)
Mg (0.000, 0.824, 0.676)
Mg (0.000, 0.176, 0.324)
Mg (0.000, 0.676, 0.176)
Mg (0.000, 0.324, 0.824)

A plane-wave DFT calculation with PBE was carried out for a geometry-optimized NaMnPt structure.

The value obtained for the energy of formation from the pure elements is 0.09 eV/atom. The value obtained for the excess energy over the best structure of this formula in the dataset is 0.170 eV per atom. The space group is Cmmm, No. 65.

Cell: 7.772 7.772 2.762 Å, 90.00 90.00 37.60°
Last column: magnetic moment on the atom in μB.
Fractional coordinates of all 6 atoms:
Mn (0.695, 0.305, 0.500)  1.45
Mn (0.305, 0.695, 0.500)  1.45
Pt (0.891, 0.891, 0.000)  0.11
Pt (0.109, 0.109, 0.000)  0.11
Na (0.305, 0.305, 0.500)  0.00
Na (0.695, 0.695, 0.500)  0.00

A plane-wave DFT calculation with PBE was carried out for a geometry-optimized Pr2ErTm structure.

The value obtained for the energy of formation from the pure elements is 0.02 eV/atom. The value obtained for the excess energy over the best structure of this formula in the dataset is 0.006 eV per atom. The space group is Cmcm, No. 63.

Cell: 5.790 7.286 7.286 Å, 119.14 89.99 89.99°
Fractional coordinates of all 8 atoms:
Er (0.250, 0.417, 0.583)
Er (0.750, 0.583, 0.417)
Pr (0.250, 0.415, 0.086)
Pr (0.750, 0.086, 0.415)
Pr (0.250, 0.914, 0.585)
Pr (0.750, 0.585, 0.914)
Tm (0.750, 0.083, 0.917)
Tm (0.250, 0.917, 0.083)

A plane-wave DFT calculation with PBE was carried out for a geometry-optimized Li4FeCu structure.

The value obtained for the energy of formation from the pure elements is 0.39 eV/atom. The space group is F-43m, No. 216.

Cell: 4.858 4.858 4.858 Å, 60.00 60.00 60.00°
Last column: magnetic moment on the atom in μB.
Fractional coordinates of all 6 atoms:
Fe (0.000, 0.000, 0.000)  2.92
Li (0.375, 0.375, 0.375)  -0.05
Li (0.875, 0.375, 0.375)  -0.05
Li (0.375, 0.875, 0.375)  -0.05
Li (0.375, 0.375, 0.875)  -0.05
Cu (0.750, 0.750, 0.750)  0.05